VASP calculation (PBE) on a relaxed structure of LiCaMg2Pd.

Results
For the distance to the lowest polymorph of the same formula, the calculation gives 0.030 eV/atom. The energy relative to the elements comes out at -0.19 eV per atom. The value obtained for the magnetization is 0.00 μB per formula unit. As for the crystal system: tetragonal.

a = 5.1204 Å, b = 5.1204 Å, c = 5.4210 Å
α = 90.00°, β = 90.00°, γ = 90.00°
Closest atoms and distances in Å follow each position.
Atoms (fractional coordinates):
Mg  0.5000  0.0000  0.0000  2 Pd 2.56
Ca  0.0000  0.0000  0.5000  2 Pd 2.71
Pd  0.0000  0.0000  0.0000  4 Mg 2.56, 2 Ca 2.71
Li  0.5000  0.5000  0.5000  4 Ca 3.62, 8 Mg 3.73
Mg  0.0000  0.5000  0.0000  2 Pd 2.56